# PBE KLaTlIn, optimized geometry
data_KLaTlIn
_symmetry_space_group_name_H-M 'F -4 3 m'
_symmetry_Int_Tables_number 216
_symmetry_space_group_name_Hall 'F -4 2 3'
_cell_length_a 8.0699
_cell_length_b 8.0699
_cell_length_c 8.0699
_cell_angle_alpha 90.00
_cell_angle_beta 90.00
_cell_angle_gamma 90.00
loop_
_atom_site_label
_atom_site_type_symbol
_atom_site_fract_x
_atom_site_fract_y
_atom_site_fract_z
K1 K 0.0000 0.0000 0.0000
La1 La 0.0000 0.0000 0.5000
Tl1 Tl 0.2500 0.2500 0.7500
In1 In 0.2500 0.2500 0.2500
# crystal system	cubic
# total DFT energy (no corrections)	-2.950	eV/atom
# M_tot	0.00	μB/atom